Density functional theory data (PBE) for a relaxed structure of BSb2TePb.

Values from the calculation:
ΔE_f (raw) ... 1.749 eV/atom
SG ... P4/mmm, No. 123
E above lowest polymorph ... 1165 meV/atom
Calculated volume ... 199 Å³ per cell

Cell and atoms, written as POSCAR:
```
BSb2TePb
1.0
5.8209 0.0000 0.0000
0.0000 5.8209 0.0000
0.0000 0.0000 5.8743
B Sb Te Pb
1 2 1 1
Direct
0.0000 0.0000 0.0000
0.0000 0.5000 0.5000
0.5000 0.0000 0.5000
0.5000 0.5000 0.0000
0.5000 0.5000 0.5000
```


Density functional theory data (PBE) for a relaxed structure of ErInHg2.

Values from the calculation:
SG ... R3m, No. 160
Energy of formation from the pure elements ... -0.20 eV per atom
Calculated volume ... 107 Å³ per cell

Cell and atoms, written as POSCAR:
```
ErInHg2
1.0
1.9046 1.0996 8.5325
-1.9046 1.0996 8.5325
0.0000 -2.1993 8.5325
Er In Hg
1 1 2
Direct
0.0000 0.0000 0.0000
0.1665 0.1665 0.1665
0.4166 0.4166 0.4166
0.5826 0.5826 0.5826
```


Density functional theory data (PBE) for a relaxed structure of RbH2S.

Values from the calculation:
SG ... Fm-3m, No. 225
E above lowest polymorph ... 672 meV/atom
Calculated volume ... 64 Å³ per cell

Cell and atoms, written as POSCAR:
```
RbH2S
1.0
0.0000 3.1678 3.1678
3.1678 0.0000 3.1678
3.1678 3.1678 0.0000
Rb H S
1 2 1
Direct
0.0000 0.0000 0.0000
0.2500 0.2500 0.2500
0.7500 0.7500 0.7500
0.5000 0.5000 0.5000
```